Entry from Alexandria: a relaxed structure of Na3Cu4Te4 (PBE).

- Crystal system: cubic
- Energy: -37.03 eV for the cell shown
- Energy above the most stable polymorph in this dataset: 0.0 meV per atom
- Formation energy (no corrections): -375 meV/atom

a b c (Å): 7.0221 7.0221 7.0221
angles (deg): 109.47 109.47 109.47
Atoms (fractional coordinates):
1 Te 0.0000 0.6134 0.0000
2 Na 0.5000 0.0000 0.5000
3 Cu 0.2374 0.0000 0.0000
4 Cu 0.0000 0.2374 0.0000
5 Cu 0.0000 0.0000 0.2374
6 Cu 0.7626 0.7626 0.7626
7 Te 0.3866 0.3866 0.3866
8 Na 0.5000 0.5000 0.0000
9 Na 0.0000 0.5000 0.5000
10 Te 0.6134 0.0000 0.0000
11 Te 0.0000 0.0000 0.6134


Entry from Alexandria: a relaxed structure of Pr2Sm6Tm3Tl (PBE).

- Crystal system: monoclinic
- Energy: -53.99 eV for the cell shown
- E_form: -0.03 eV per atom

a b c (Å): 6.1738 6.1738 11.8526
angles (deg): 94.98 94.98 120.06
Atoms (fractional coordinates):
1 Sm 0.2423 0.2423 0.7456
2 Tl 0.0000 0.0000 0.0000
3 Sm 0.9157 0.5888 0.7463
4 Pr 0.6663 0.3337 0.0000
5 Sm 0.7577 0.7577 0.2544
6 Sm 0.4112 0.0843 0.2537
7 Sm 0.5888 0.9157 0.7463
8 Tm 0.8331 0.1669 0.5000
9 Tm 0.1669 0.8331 0.5000
10 Sm 0.0843 0.4112 0.2537
11 Pr 0.3337 0.6663 0.0000
12 Tm 0.5000 0.5000 0.5000


The highest energy belongs to which entry?
Na3Cu4Te4